Material: DyTmTh2As4
Method: DFT, PBE
State: relaxed

extended XYZ file:
```
8
Lattice="-3.575 2.017 -0.831 -1.612 0.030 7.006 2.662 5.995 3.097" Properties=species:S:1:pos:R:3 pbc="T T T"
As 0.819 4.550 7.518
As -3.343 3.492 1.754
As -2.311 2.540 5.552
As -0.213 5.502 3.720
Th 2.662 5.995 3.097
Th -0.456 4.006 1.133
Dy 0.525 3.012 5.052
Tm -2.593 1.024 3.088
```

Values from the calculation:
Space group ... P2/m, No. 10
Energy of formation ... -1456 meV per atom
Size of the total moment ... 0.0 μB/cell